[1]
Computed, not measured: crystalline La2Tb2PmNd4 at its relaxed geometry at the GGA-PBE level of DFT.

```
La2Tb2PmNd4
1.0
-1.7998 -0.0601 3.2360
4.4462 -8.7011 0.1923
5.4266 7.5495 3.1583
Nd La Pm Tb
4 2 1 2
Cartesian
1.0572 2.1793 2.7475
7.0158 -3.3910 3.8391
3.1332 -0.7277 1.7291
4.9398 -0.4840 4.8574
2.3739 -5.8110 1.2124
5.6991 4.5993 5.3742
0.0000 0.0000 0.0000
3.4081 -3.6576 3.9466
4.6649 2.4459 2.6400
```

Results
Uncorrected energy: -4.77 eV/atom
Density: 6.96 g/cm3
Space group: C2/m, No. 12

---

[2]
Computed, not measured: crystalline La2TbPm2Nd at its relaxed geometry at the GGA-PBE level of DFT.

```
La2TbPm2Nd
1.0
3.4707 0.0000 0.0000
0.0000 6.7767 0.0000
0.0000 0.0000 18.2496
La Pm Tb Nd
4 4 2 2
Cartesian
0.0000 5.2139 3.3621
0.0000 1.5627 14.8875
1.7354 4.9511 12.4869
1.7354 1.8256 5.7627
1.7354 5.2479 6.4473
0.0000 1.8595 2.6775
1.7354 1.5288 11.8023
0.0000 4.9171 15.5721
0.0000 0.0000 0.0000
1.7354 3.3883 9.1248
1.7354 3.3883 0.0000
0.0000 0.0000 9.1248
```

Results
Uncorrected energy: -4.56 eV/atom
Density: 6.74 g/cm3
Space group: Pnnm, No. 58

---

[3]
Computed, not measured: crystalline La3Tb6PmNd2 at its relaxed geometry at the GGA-PBE level of DFT.

```
La3Tb6PmNd2
1.0
-4.1060 2.4423 4.1367
-1.6143 -5.0359 -3.4598
6.1093 -6.2288 8.1357
Tb Nd La Pm
6 2 3 1
Cartesian
-0.3253 -0.9434 3.4501
-2.7714 -3.4874 2.5241
0.5049 -3.4351 0.9191
-0.1159 -5.3873 7.8935
0.7143 -7.8790 5.3625
3.1604 -5.3350 6.2885
-2.4450 -2.5427 -0.9272
-3.2753 -0.0509 1.6041
0.1945 -4.4112 4.4063
-0.6357 -1.9195 6.9374
1.0247 -6.9029 1.8752
0.0000 0.0000 0.0000
```

Results
Uncorrected energy: -4.73 eV/atom
Density: 7.38 g/cm3
Space group: C2/m, No. 12

---

[4]
Computed, not measured: crystalline LaTb5Pm2Nd at its relaxed geometry at the GGA-PBE level of DFT.

```
LaTb5Pm2Nd
1.0
8.7855 0.0000 0.0000
0.0000 8.7855 0.0000
-4.3927 -4.3927 7.8650
Pm Tb La Nd
4 10 2 2
Cartesian
1.0350 3.3578 0.0000
5.4277 1.0350 0.0000
7.7505 5.4277 0.0000
3.3578 7.7505 0.0000
-2.5768 1.8159 5.7356
6.9695 2.5768 2.1295
2.5768 -1.8159 5.7356
6.2087 6.9695 2.1295
0.0000 0.0000 0.0000
4.3927 4.3927 0.0000
-1.8159 -2.5768 5.7356
1.8159 2.5768 5.7356
2.5768 1.8159 2.1295
1.8159 6.2087 2.1295
0.0000 0.0000 3.9325
4.3927 4.3927 3.9325
0.0000 4.3927 3.9325
4.3927 0.0000 3.9325
```

Results
Uncorrected energy: -4.46 eV/atom
Density: 7.48 g/cm3
Space group: I4/mcm, No. 140

---

[5]
Computed, not measured: crystalline La2TbPm4Nd at its relaxed geometry at the GGA-PBE level of DFT.

```
La2TbPm4Nd
1.0
-0.6376 0.3802 -5.1410
-4.7929 -1.9207 0.4524
-8.5555 7.6886 1.6301
Pm Nd La Tb
4 1 2 1
Cartesian
-3.9788 1.8422 -4.6184
-6.0577 0.6862 -1.8219
-7.9282 5.4619 -1.2366
-10.0072 4.3059 1.5599
-11.2707 6.9183 -0.7142
0.0000 0.0000 0.0000
-9.3894 2.1137 -1.3030
-6.6742 2.8839 1.0413
```

Results
Uncorrected energy: -4.76 eV/atom
Density: 6.89 g/cm3
Space group: P2/m, No. 10

---

[6]
Computed, not measured: crystalline LaTbPm5Nd2 at its relaxed geometry at the GGA-PBE level of DFT.

```
LaTbPm5Nd2
1.0
-8.5713 1.4818 1.9679
-2.1642 -1.1267 -8.5780
4.3204 -7.9414 4.5891
Tb Pm Nd La
2 10 4 2
Cartesian
-4.8094 -3.1410 1.6260
-1.6058 -4.4453 -3.6470
-7.7086 -1.2878 -0.5938
-8.0700 -1.9758 -5.0483
-3.2410 -1.9340 -0.8565
0.0000 0.0000 0.0000
-5.3678 0.1775 -3.3051
1.2934 -6.2985 -1.4272
1.6548 -5.6105 3.0273
-3.6023 -2.6219 -5.3110
-2.8129 -4.9644 3.2899
-3.1742 -5.6524 -1.1646
-5.1874 -0.4276 -6.8168
-1.8356 -0.2566 -3.0489
-5.5481 0.7827 0.2066
-8.9000 0.6117 -3.5613
-0.5237 -3.8819 0.6420
-5.8915 -3.7044 -2.6631
```

Results
Uncorrected energy: -4.50 eV/atom
Density: 6.90 g/cm3
Space group: I4/mcm, No. 140

---

| no. | DOS(E_F) (states/eV/atom) |
| --- | --- |
| 1 | 1.44 |
| 2 | 1.86 |
| 3 | 1.27 |
| 4 | 1.11 |
| 5 | 1.65 |
| 6 | 1.39 |